# LuCoNO

A relaxed structure of LuCoNO (PBE+U, OQMD).

Final energy   -7.125 eV/atom

a b c (Å): 4.5631 4.5631 4.4356
angles (deg): 90.00 90.00 90.00
Last column: nearest neighbours and their distance in Å.
Space group P4/nmm (No. 129, origin choice 2)
Inequivalent atoms, fractional coordinates:
Lu1 0.2500 0.7500 0.0000 x2  2 O 2.22, 4 N 2.28
Co1 0.2500 0.2500 0.4995 x2  2 N 2.21-2.22, 4 O 2.28
N1 0.2500 0.2500 0.9985 x2  2 Co 2.21-2.22, 4 Lu 2.28
O1 0.2500 0.7500 0.5000 x2  2 Lu 2.22, 4 Co 2.28